(P)
The following is a GGA-PBE calculation of a relaxed Pm4Sm3Y8 crystal, from Alexandria via LeMat-Bulk.

Cell lengths 13.5556, 12.9083, 6.8068 Å; angles 90.00, 120.11, 90.00 degrees
Space group C2/m (No. 12)
Unique sites:
Pm  0.0000  0.0000  0.0000 (multiplicity 2)
Pm  0.0000  0.0000  0.5000 (multiplicity 2)
Pm  0.2500  0.2500  0.0000 (multiplicity 4)
Sm  0.0000  0.5000  0.0000 (multiplicity 2)
Sm  0.2500  0.2500  0.5000 (multiplicity 4)
Y  0.0000  0.2545  0.0000 (multiplicity 4)
Y  0.0000  0.3583  0.5000 (multiplicity 4)
Y  0.2330  0.5000  0.9713 (multiplicity 4)
Y  0.2339  0.5000  0.4919 (multiplicity 4)

**Crystal system**: monoclinic
**Magnetic moment**: 0.04 μB/cell
**DOS at the Fermi energy**: 2.131 states/eV/atom

=====

(Q)
The following is a GGA-PBE calculation of a relaxed Pm4Sm3Y8 crystal, from Alexandria via LeMat-Bulk.

Cell lengths 7.0322, 7.0322, 35.6241 Å; angles 90.00, 90.00, 120.00 degrees
Space group R-3m (No. 166, hexagonal axes)
Unique sites:
Pm  0.0000  0.0000  0.0000 (multiplicity 3)
Pm  0.0000  0.0000  0.1639 (multiplicity 6)
Pm  0.0000  0.0000  0.5000 (multiplicity 3)
Sm  0.0000  0.5000  0.0000 (multiplicity 9)
Y  0.0000  0.0000  0.2544 (multiplicity 6)
Y  0.0008  0.5004  0.2500 (multiplicity 18)

**Crystal system**: trigonal
**Magnetic moment**: 0.00 μB/cell
**DOS at the Fermi energy**: 1.585 states/eV/atom

=====

Relative to the most stable one, in kJ/mol of atoms, the structures come out at (P) 22.6; (Q) 0.0.